First-principles (PBE-GGA) data for a geometry-optimized BiAsCl2 structure, as listed in the Alexandria database.

a b c (Å): 7.1784 7.1784 7.1784
angles (deg): 90.00 90.00 90.00
Space group Fm-3m (No. 225)
Symmetry-distinct sites (fractional):
Bi: 0.0000 0.0000 0.0000 (multiplicity 4)
As: 0.0000 0.0000 0.5000 (multiplicity 4)
Cl: 0.2500 0.2500 0.2500 (multiplicity 8)

Values from the calculation:
Formation energy from raw total energies: 0.224 eV/atom
Size of the total moment: 0.00 μB per formula unit
E above lowest polymorph: 388.7 meV per atom


First-principles (PBE-GGA) data for a geometry-optimized BaNaSb structure, as listed in the Alexandria database.

a b c (Å): 8.6032 5.0948 14.8257
angles (deg): 90.00 90.01 90.00
Space group P2_1/m (No. 11)
Symmetry-distinct sites (fractional):
Ba: 0.0292 0.2500 0.2049 (multiplicity 2)
Ba: 0.3424 0.7500 0.5821 (multiplicity 2)
Ba: 0.4703 0.7500 0.8759 (multiplicity 2)
Na: 0.9998 0.2500 0.5877 (multiplicity 2)
Na: 0.1400 0.2500 0.9585 (multiplicity 2)
Na: 0.3588 0.7500 0.2952 (multiplicity 2)
Sb: 0.2414 0.2500 0.4109 (multiplicity 2)
Sb: 0.2410 0.7500 0.0773 (multiplicity 2)
Sb: 0.2619 0.2500 0.7478 (multiplicity 2)

Values from the calculation:
Formation energy from raw total energies: -0.852 eV/atom
Size of the total moment: 0.00 μB per formula unit


First-principles (PBE-GGA) data for a geometry-optimized BiBPt3 structure, as listed in the Alexandria database.

a b c (Å): 11.5908 11.1815 5.6018
angles (deg): 90.00 99.66 90.00
Space group C2/c (No. 15)
Symmetry-distinct sites (fractional):
Bi: 0.1541 0.1049 0.3015 (multiplicity 8)
B: 0.0000 0.2789 0.7500 (multiplicity 4)
B: 0.0000 0.4413 0.2500 (multiplicity 4)
Pt: 0.1027 0.4026 0.5942 (multiplicity 8)
Pt: 0.1305 0.1513 0.7795 (multiplicity 8)
Pt: 0.1316 0.3479 0.1020 (multiplicity 8)

Values from the calculation:
Size of the total moment: 0.00 μB per formula unit
E above lowest polymorph: 66.3 meV per atom
Energy relative to the elements: -0.152 eV/atom